Compound: HoErZr2Bi2
Source: OQMD
Functional: PBE
Structure: relaxed

Output
Magnetization: 0.2 μB/cell
Raw total energy: -6.256 eV per atom

abc: 8.938 8.938 8.938
angles: 152.03 152.03 39.96
Element x y z (fractional)
Ho 0.000 0.000 0.000
Er 0.350 0.350 0.000
Zr 0.175 0.675 0.500
Zr 0.675 0.175 0.500
Bi 0.539 0.539 0.000
Bi 0.811 0.811 0.000


Compound: LiHfTlPd
Source: OQMD
Functional: PBE
Structure: relaxed

Output
Magnetization: 0.0 μB/cell
Relative energy among the computed polymorphs: 89 meV per atom

abc: 4.716 4.716 4.716
angles: 60.00 60.00 60.00
Element x y z (fractional)
Li 0.000 0.000 0.000
Hf 0.500 0.500 0.500
Tl 0.250 0.250 0.250
Pd 0.750 0.750 0.750


Compound: KPbW
Source: OQMD
Functional: PBE
Structure: relaxed

Output
Magnetization: 3.2 μB/cell
Relative energy among the computed polymorphs: 591 meV per atom

abc: 5.224 5.224 5.224
angles: 60.00 60.00 60.00
Element x y z (fractional)
K 0.000 0.000 0.000
Pb 0.750 0.750 0.750
W 0.250 0.250 0.250


Compound: PmYNb
Source: OQMD
Functional: PBE
Structure: relaxed

Output
Magnetization: 2.2 μB/cell
Relative energy among the computed polymorphs: 0 meV per atom

abc: 5.115 5.115 5.115
angles: 60.00 60.00 60.00
Element x y z (fractional)
Pm 0.000 0.000 0.000
Y 0.500 0.500 0.500
Nb 0.250 0.250 0.250


Compound: AlZnSb2
Source: OQMD
Functional: PBE
Structure: relaxed

Output
Raw total energy: -3.032 eV per atom

abc: 5.080 5.080 5.080
angles: 60.00 60.00 60.00
Element x y z (fractional)
Al 0.000 0.000 0.000
Zn 0.250 0.250 0.250
Sb 0.500 0.500 0.500
Sb 0.750 0.750 0.750


Compound: DySi2Au
Source: OQMD
Functional: PBE
Structure: relaxed

Output
Magnetization: 0.0 μB/cell
Raw total energy: -5.031 eV per atom

abc: 3.798 5.308 5.308
angles: 46.50 90.00 90.00
Element x y z (fractional)
Dy 0.000 0.000 0.000
Si 0.000 0.283 0.283
Si 0.500 0.444 0.444
Au 0.500 0.701 0.701


Compound: NaMgZrS3
Source: OQMD
Functional: PBE
Structure: relaxed

Output
Magnetization: 4.0 μB/cell
Raw total energy: -5.226 eV per atom

abc: 10.281 3.821 13.278
angles: 90.00 90.00 90.00
Element x y z (fractional)
Na 0.217 0.250 0.010
Na 0.283 0.750 0.510
Na 0.717 0.250 0.490
Na 0.783 0.750 0.990
Mg 0.230 0.750 0.786
Mg 0.270 0.250 0.286
Mg 0.730 0.750 0.714
Mg 0.770 0.250 0.214
Zr 0.020 0.750 0.257
Zr 0.480 0.250 0.757
Zr 0.520 0.750 0.243
Zr 0.980 0.250 0.743
S 0.033 0.750 0.878
S 0.078 0.250 0.386
S 0.232 0.250 0.675
S 0.268 0.750 0.175
S 0.422 0.750 0.886
S 0.467 0.250 0.378
S 0.533 0.750 0.622
S 0.578 0.250 0.114
S 0.732 0.250 0.825
S 0.768 0.750 0.325
S 0.922 0.750 0.614
S 0.967 0.250 0.122


Compound: CuPd2Au
Source: OQMD
Functional: PBE
Structure: relaxed

Output
Raw total energy: -4.385 eV per atom

abc: 4.436 4.436 4.436
angles: 60.00 60.00 60.00
Element x y z (fractional)
Cu 0.000 0.000 0.000
Pd 0.500 0.500 0.500
Pd 0.750 0.750 0.750
Au 0.250 0.250 0.250


Compound: Er3MgCd2Ga3
Source: OQMD
Functional: PBE
Structure: relaxed

Output
Magnetization: 0.0 μB/cell
Raw total energy: -3.412 eV per atom

abc: 4.398 7.201 7.201
angles: 120.02 90.00 90.00
Element x y z (fractional)
Er 0.000 0.000 0.000
Er 0.000 0.424 0.852
Er 0.000 0.852 0.424
Mg 0.500 0.665 0.665
Cd 0.500 0.178 0.427
Cd 0.500 0.427 0.178
Ga 0.000 0.430 0.430
Ga 0.500 0.088 0.760
Ga 0.500 0.760 0.088


Compound: MgScCdGa
Source: OQMD
Functional: PBE
Structure: relaxed

Output
Magnetization: 0.0 μB/cell
Relative energy among the computed polymorphs: 156 meV per atom

abc: 4.844 4.844 4.844
angles: 60.00 60.00 60.00
Element x y z (fractional)
Mg 0.000 0.000 0.000
Sc 0.750 0.750 0.750
Cd 0.250 0.250 0.250
Ga 0.500 0.500 0.500


Compound: RbWAu3Se4
Source: OQMD
Functional: PBE
Structure: relaxed

Output
Magnetization: 1.4 μB/cell
Raw total energy: -4.296 eV per atom

abc: 6.461 6.461 6.461
angles: 90.00 90.00 90.00
Element x y z (fractional)
Rb 0.000 0.000 0.000
W 0.500 0.500 0.500
Au 0.000 0.500 0.500
Au 0.500 0.000 0.500
Au 0.500 0.500 0.000
Se 0.283 0.283 0.283
Se 0.283 0.717 0.717
Se 0.717 0.283 0.717
Se 0.717 0.717 0.283


Compound: Er2Nb2O5
Source: OQMD
Functional: PBE
Structure: relaxed

Output
Magnetization: 0.0 μB/cell
Relative energy among the computed polymorphs: 0 meV per atom

abc: 4.020 4.020 6.951
angles: 90.00 90.00 90.00
Element x y z (fractional)
Er 0.000 0.000 0.000
Er 0.000 0.000 0.500
Nb 0.500 0.500 0.192
Nb 0.500 0.500 0.808
O 0.000 0.500 0.252
O 0.000 0.500 0.748
O 0.500 0.000 0.252
O 0.500 0.000 0.748
O 0.500 0.500 0.500


Compound: KBePd
Source: OQMD
Functional: PBE
Structure: relaxed

Output
Relative energy among the computed polymorphs: 12 meV per atom

abc: 4.638 4.638 4.638
angles: 60.00 60.00 60.00
Element x y z (fractional)
K 0.000 0.000 0.000
Be 0.500 0.500 0.500
Pd 0.750 0.750 0.750


Compound: NaYCoSe3
Source: OQMD
Functional: PBE
Structure: relaxed

Output
Magnetization: 10.8 μB/cell
Relative energy among the computed polymorphs: 55 meV per atom

abc: 11.197 4.067 11.981
angles: 90.00 90.00 90.00
Element x y z (fractional)
Na 0.178 0.250 0.003
Na 0.322 0.750 0.503
Na 0.678 0.250 0.497
Na 0.822 0.750 0.997
Y 0.017 0.250 0.313
Y 0.483 0.750 0.813
Y 0.517 0.250 0.187
Y 0.983 0.750 0.687
Co 0.250 0.250 0.713
Co 0.250 0.750 0.213
Co 0.750 0.250 0.787
Co 0.750 0.750 0.287
Se 0.051 0.750 0.147
Se 0.109 0.250 0.564
Se 0.219 0.750 0.812
Se 0.281 0.250 0.312
Se 0.391 0.750 0.064
Se 0.449 0.250 0.647
Se 0.551 0.750 0.353
Se 0.609 0.250 0.936
Se 0.719 0.750 0.688
Se 0.781 0.250 0.188
Se 0.891 0.750 0.436
Se 0.949 0.250 0.853


Compound: NbGeNO
Source: OQMD
Functional: PBE
Structure: relaxed

Output
Magnetization: 0.0 μB/cell
Relative energy among the computed polymorphs: 231 meV per atom

abc: 3.932 3.932 8.140
angles: 90.00 90.00 90.00
Element x y z (fractional)
Nb 0.250 0.750 0.000
Nb 0.750 0.250 0.000
Ge 0.250 0.250 0.391
Ge 0.750 0.750 0.609
N 0.250 0.250 0.915
N 0.750 0.750 0.085
O 0.250 0.750 0.500
O 0.750 0.250 0.500


Compound: AlCo14
Source: OQMD
Functional: PBE
Structure: relaxed

Output
Magnetization: 44.2 μB/cell
Raw total energy: -6.870 eV per atom

abc: 8.563 8.563 4.515
angles: 90.00 90.00 90.00
Element x y z (fractional)
Al 0.000 0.000 0.000
Al 0.500 0.500 0.500
Co 0.036 0.366 0.500
Co 0.068 0.267 0.000
Co 0.099 0.099 0.500
Co 0.134 0.536 0.000
Co 0.184 0.816 0.251
Co 0.184 0.816 0.749
Co 0.233 0.568 0.500
Co 0.267 0.068 0.000
Co 0.316 0.316 0.249
Co 0.316 0.316 0.751
Co 0.366 0.036 0.500
Co 0.401 0.599 0.000
Co 0.432 0.767 0.500
Co 0.464 0.866 0.000
Co 0.536 0.134 0.000
Co 0.568 0.233 0.500
Co 0.599 0.401 0.000
Co 0.634 0.964 0.500
Co 0.684 0.684 0.249
Co 0.684 0.684 0.751
Co 0.733 0.932 0.000
Co 0.767 0.432 0.500
Co 0.816 0.184 0.251
Co 0.816 0.184 0.749
Co 0.866 0.464 0.000
Co 0.901 0.901 0.500
Co 0.932 0.733 0.000
Co 0.964 0.634 0.500


Compound: Na2Nb2SO3
Source: OQMD
Functional: PBE
Structure: relaxed

Output
Magnetization: 0.0 μB/cell
Raw total energy: -7.039 eV per atom

abc: 3.055 3.055 12.635
angles: 90.00 90.00 120.00
Element x y z (fractional)
Na 0.000 0.000 0.000
Na 0.000 0.000 0.469
Nb 0.000 0.000 0.236
Nb 0.000 0.000 0.767
S 0.333 0.667 0.635
O 0.333 0.667 0.872
O 0.667 0.333 0.133
O 0.667 0.333 0.341


Compound: TaSiAsO
Source: OQMD
Functional: PBE
Structure: relaxed

Output
Magnetization: 1.2 μB/cell
Relative energy among the computed polymorphs: 0 meV per atom

abc: 3.429 3.429 10.160
angles: 90.00 90.00 90.00
Element x y z (fractional)
Ta 0.250 0.250 0.128
Ta 0.750 0.750 0.872
Si 0.250 0.750 0.500
Si 0.750 0.250 0.500
As 0.250 0.250 0.742
As 0.750 0.750 0.258
O 0.250 0.750 0.000
O 0.750 0.250 0.000


Compound: TmAgS2
Source: OQMD
Functional: PBE
Structure: relaxed

Output
Magnetization: 0.0 μB/cell
Raw total energy: -5.196 eV per atom

abc: 7.070 7.070 7.070
angles: 135.30 135.30 65.06
Element x y z (fractional)
Tm 0.000 0.000 0.000
Tm 0.750 0.250 0.500
Ag 0.215 0.715 0.500
Ag 0.465 0.465 0.000
S 0.229 0.229 0.000
S 0.524 0.024 0.500
S 0.774 0.774 0.000
S 0.979 0.479 0.500


Compound: RbUFe
Source: OQMD
Functional: PBE
Structure: relaxed

Output
Magnetization: 1.9 μB/cell
Relative energy among the computed polymorphs: 0 meV per atom

abc: 4.857 4.857 4.857
angles: 60.00 60.00 60.00
Element x y z (fractional)
Rb 0.000 0.000 0.000
U 0.500 0.500 0.500
Fe 0.750 0.750 0.750


Compound: NaPmPt
Source: OQMD
Functional: PBE
Structure: relaxed

Output
Magnetization: 0.0 μB/cell
Raw total energy: -4.008 eV per atom

abc: 4.669 4.669 4.669
angles: 60.00 60.00 60.00
Element x y z (fractional)
Na 0.000 0.000 0.000
Pm 0.750 0.750 0.750
Pt 0.250 0.250 0.250


Compound: Cu2Ag
Source: OQMD
Functional: PBE
Structure: relaxed

Output
Relative energy among the computed polymorphs: 46 meV per atom

abc: 4.731 4.731 4.731
angles: 146.46 133.81 58.28
Element x y z (fractional)
Cu 0.177 0.177 0.000
Cu 0.823 0.823 0.000
Ag 0.500 0.500 0.000


Compound: DyCoSi
Source: OQMD
Functional: PBE
Structure: relaxed

Output
Magnetization: 0.0 μB/cell
Raw total energy: -6.287 eV per atom

abc: 6.690 6.690 3.909
angles: 90.00 90.00 120.00
Element x y z (fractional)
Dy 0.000 0.580 0.000
Dy 0.420 0.420 0.000
Dy 0.580 0.000 0.000
Co 0.000 0.227 0.500
Co 0.227 0.000 0.500
Co 0.773 0.773 0.500
Si 0.000 0.000 0.000
Si 0.333 0.667 0.500
Si 0.667 0.333 0.500


Compound: PaNiB
Source: OQMD
Functional: PBE
Structure: relaxed

Output
Magnetization: 0.0 μB/cell
Relative energy among the computed polymorphs: 0 meV per atom

abc: 4.055 4.055 4.055
angles: 60.00 60.00 60.00
Element x y z (fractional)
Pa 0.000 0.000 0.000
Ni 0.500 0.500 0.500
B 0.750 0.750 0.750


Compound: HoScAg
Source: OQMD
Functional: PBE
Structure: relaxed

Output
Magnetization: 0.0 μB/cell
Relative energy among the computed polymorphs: 0 meV per atom

abc: 4.737 4.737 4.737
angles: 60.00 60.00 60.00
Element x y z (fractional)
Ho 0.000 0.000 0.000
Sc 0.750 0.750 0.750
Ag 0.500 0.500 0.500